1.
Compound: AcTmAl4
Source: Alexandria via LeMat-Bulk
Functional: GGA-PBE
Structure: optimized geometry

POSCAR file:
```
AcTmAl4
1.0
-0.321 4.706 3.256
-2.067 -0.342 5.335
3.517 0.629 4.482
Ac Tm Al
1 1 4
direct
0.250 0.250 0.250
0.000 0.000 0.000
0.625 0.625 0.124
0.625 0.124 0.625
0.625 0.625 0.625
0.124 0.625 0.625
```

Computed properties:
The total moment is 0.0000 μB/atom. The formation enthalpy at 0 K is -0.37 eV/atom. Its space group is No. 216.

---

2.
Compound: Ba3PtO5
Source: Alexandria via LeMat-Bulk
Functional: GGA-PBE
Structure: optimized geometry

POSCAR file:
```
Ba3PtO5
1.0
6.257 0.000 0.000
0.000 7.331 0.000
0.000 0.000 7.331
Ba Pt O
6 2 10
direct
0.000 0.000 0.000
0.000 0.500 0.500
0.500 0.325 0.825
0.500 0.825 0.675
0.500 0.175 0.325
0.500 0.675 0.175
0.000 0.500 0.000
0.000 0.000 0.500
0.782 0.135 0.635
0.782 0.865 0.365
0.782 0.365 0.135
0.782 0.635 0.865
0.218 0.135 0.635
0.218 0.635 0.865
0.218 0.365 0.135
0.218 0.865 0.365
0.500 0.000 0.000
0.500 0.500 0.500
```

Computed properties:
The total moment is 0.2251 μB/atom. Its space group is No. 127. The energy relative to the elements, uncorrected comes out at -1928 meV/atom.